1.
A relaxed MgInBiPb crystal. Source: Alexandria via LeMat-Bulk, functional PBE-GGA.

a b c (Å): 3.492 3.492 9.352
angles (deg): 90.00 90.00 90.00
Space group P4mm (No. 99)
Symmetry-distinct sites (fractional):
Mg  0.000  0.000  0.000 (multiplicity 1)
In  0.000  0.000  0.493 (multiplicity 1)
Bi  0.500  0.500  0.773 (multiplicity 1)
Pb  0.500  0.500  0.227 (multiplicity 1)

Values from the calculation:
The calculation puts the calculated volume at 114.01 Å³ per cell. Its energy above the most stable polymorph in this dataset is 0.0000 eV per atom. The calculation puts the formation energy at -0.030 eV per atom.


2.
A relaxed MgFeHRh2 crystal. Source: Alexandria via LeMat-Bulk, functional PBE-GGA.

a b c (Å): 4.006 4.006 3.744
angles (deg): 90.00 90.00 90.00
Space group P4/mmm (No. 123)
Symmetry-distinct sites (fractional):
Mg  0.000  0.000  0.000 (multiplicity 1)
Fe  0.500  0.500  0.000 (multiplicity 1)
H  0.000  0.000  0.500 (multiplicity 1)
Rh  0.000  0.500  0.500 (multiplicity 2)

Values from the calculation:
The calculation puts the calculated volume at 60.09 Å³ per cell. Its energy above the most stable polymorph in this dataset is 0.0635 eV per atom.


3.
A relaxed Y2MgZn16 crystal. Source: Alexandria via LeMat-Bulk, functional PBE-GGA.

a b c (Å): 9.0193 9.0193 13.2440
angles (deg): 90.00 90.00 120.00
Space group R3m (No. 160, hexagonal axes)
Symmetry-distinct sites (fractional):
Y  0.0000  0.0000  0.0000 (multiplicity 3)
Y  0.0000  0.0000  0.3214 (multiplicity 3)
Mg  0.0000  0.0000  0.7536 (multiplicity 3)
Zn  0.0000  0.0000  0.5493 (multiplicity 3)
Zn  0.9997  0.2979  0.6604 (multiplicity 18)
Zn  0.0026  0.5013  0.1608 (multiplicity 9)
Zn  0.0117  0.5059  0.8132 (multiplicity 9)
Zn  0.1710  0.3421  0.8423 (multiplicity 9)

Values from the calculation:
The calculation puts the calculated volume at 933.04 Å³ per cell. The calculation puts the formation energy at -0.239 eV per atom.